# Dy3Fe5O12, relaxed, DFT PBE with a Hubbard U
data_Dy3Fe5O12
_symmetry_space_group_name_H-M 'I a -3 d'
_symmetry_Int_Tables_number 230
_symmetry_space_group_name_Hall '-I 4bd 2c 3'
_cell_length_a 12.411
_cell_length_b 12.411
_cell_length_c 12.411
_cell_angle_alpha 90.00
_cell_angle_beta 90.00
_cell_angle_gamma 90.00
loop_
_atom_site_label
_atom_site_type_symbol
_atom_site_fract_x
_atom_site_fract_y
_atom_site_fract_z
Dy1 Dy 0.000 0.250 0.125
Fe1 Fe 0.000 0.000 0.000
Fe2 Fe 0.000 0.250 0.375
O1 O 0.026 0.056 0.648
# - final energy (eV per atom) = -7.11